(1)
MgNiIN2: single point on PBEsol structure, meta-GGA SCAN.

Lattice parameters (Å, degrees): 3.910 3.910 5.854 90.00 90.00 90.00
Last column: magnetic moment on the atom in μB.
Atoms (fractional coordinates):
Ni1 0.500 0.500 0.500  1.09
N1 0.500 0.000 0.000  1.32
I1 0.000 0.000 0.500  0.12
N2 0.000 0.500 0.000  1.32
Mg1 0.000 0.000 0.000  0.00

Values from the calculation:
SG	P4/mmm (123)
uncorrected energy	-14.0329	eV per atom
uncorrected formation energy	1261	meV/atom
calculated density	4.42	g/cm3

(2)
KTl2HgH: single point on PBEsol structure, meta-GGA SCAN.

Lattice parameters (Å, degrees): 4.844 4.844 5.231 90.00 90.00 90.00
Atoms (fractional coordinates):
Hg1 0.000 0.000 0.500
H1 0.000 0.000 0.000
Tl1 0.000 0.500 0.000
K1 0.500 0.500 0.500
Tl2 0.500 0.000 0.000

Values from the calculation:
SG	P4/mmm (123)
uncorrected energy	-44.8136	eV per atom
calculated density	8.79	g/cm3

(3)
ScPdSeN2: single point on PBEsol structure, meta-GGA SCAN.

Lattice parameters (Å, degrees): 3.994 3.994 5.330 90.00 90.00 90.00
Last column: magnetic moment on the atom in μB.
Atoms (fractional coordinates):
N1 0.000 0.500 0.000  1.18
Pd1 0.500 0.500 0.500  0.16
Sc1 0.000 0.000 0.000  0.00
N2 0.500 0.000 0.000  1.18
Se1 0.000 0.000 0.500  0.17

Values from the calculation:
SG	P4/mmm (123)
uncorrected energy	-16.4848	eV per atom
uncorrected formation energy	650	meV/atom
calculated density	5.05	g/cm3

(4)
CsMnSeBr2: single point on PBEsol structure, meta-GGA SCAN.

Lattice parameters (Å, degrees): 4.864 5.336 5.336 90.00 90.00 90.00
Last column: magnetic moment on the atom in μB.
Atoms (fractional coordinates):
Mn1 0.000 0.000 0.000  4.18
Se1 0.500 0.000 0.000  -0.23
Br1 0.000 0.000 0.500  -0.02
Cs1 0.500 0.500 0.500  0.00
Br2 0.000 0.500 0.000  -0.02

Values from the calculation:
SG	P4/mmm (123)
uncorrected energy	-24.1859	eV per atom
uncorrected formation energy	-1173	meV/atom
calculated density	5.12	g/cm3

(5)
BaAlAs2: single point on PBEsol structure, meta-GGA SCAN.

Lattice parameters (Å, degrees): 3.735 3.735 6.705 90.00 90.00 90.00
Atoms (fractional coordinates):
Ba1 0.500 0.500 0.000
As1 0.000 0.000 0.314
Al1 0.500 0.500 0.500
As2 0.000 0.000 0.686

Values from the calculation:
SG	P4/mmm (123)
calculated formation energy	-7.90	kcal/mol of atoms
uncorrected energy	-22.2636	eV per atom
calculated density	5.58	g/cm3

(6)
ZrAl3Ir: single point on PBEsol structure, meta-GGA SCAN.

Lattice parameters (Å, degrees): 4.624 4.624 4.624 90.00 90.00 90.00
Last column: magnetic moment on the atom in μB.
Atoms (fractional coordinates):
Zr1 0.500 0.500 0.500  0.53
Al1 0.000 0.500 0.000  -0.01
Al2 0.500 0.000 0.000  -0.01
Al3 0.000 0.000 0.500  -0.01
Ir1 0.000 0.000 0.000  0.17

Values from the calculation:
SG	Pm-3m (221)
calculated formation energy	-3.63	kcal/mol of atoms
uncorrected energy	-25.1681	eV per atom
calculated density	6.12	g/cm3

(7)
Cd5Au3: single point on PBEsol structure, meta-GGA SCAN.

Lattice parameters (Å, degrees): 5.541 8.053 8.053 120.00 90.00 90.00
Atoms (fractional coordinates):
Cd1 0.750 0.000 0.235
Au1 0.750 0.394 0.394
Cd2 0.000 0.667 0.333
Cd3 0.500 0.667 0.333
Au2 0.250 0.394 0.000
Cd4 0.250 0.235 0.235
Cd5 0.500 0.333 0.667
Cd6 0.000 0.333 0.667
Au3 0.250 0.000 0.394
Cd7 0.250 0.000 0.765
Cd8 0.750 0.235 0.000
Cd9 0.250 0.765 0.000
Au4 0.750 0.606 0.000
Cd10 0.750 0.765 0.765
Au5 0.750 0.000 0.606
Au6 0.250 0.606 0.606

Values from the calculation:
SG	P6_3/mcm (193)
calculated formation energy	-5.08	kcal/mol of atoms
uncorrected energy	-45.1630	eV per atom
energy relative to the lowest polymorph listed for this composition	24.5	meV/atom
calculated density	12.31	g/cm3

(8)
Ta3HPt: single point on PBEsol structure, meta-GGA SCAN.

Lattice parameters (Å, degrees): 4.105 4.105 4.105 90.00 90.00 90.00
Atoms (fractional coordinates):
Ta1 0.000 0.500 0.000
Ta2 0.000 0.000 0.500
Ta3 0.500 0.000 0.000
H1 0.000 0.000 0.000
Pt1 0.500 0.500 0.500

Values from the calculation:
SG	Pm-3m (221)
uncorrected energy	-55.0070	eV per atom
calculated density	17.74	g/cm3

(9)
PrNi2B2C: single point on PBEsol structure, meta-GGA SCAN.

Lattice parameters (Å, degrees): 3.676 3.676 5.585 109.21 109.21 90.00
Atoms (fractional coordinates):
C1 0.500 0.500 0.000
B1 0.349 0.349 0.697
B2 0.651 0.651 0.303
Pr1 0.000 0.000 0.000
Ni1 0.250 0.750 0.500
Ni2 0.750 0.250 0.500

Values from the calculation:
SG	I4/mmm (139)
calculated formation energy	-11.10	kcal/mol of atoms
uncorrected energy	-17.2531	eV per atom
calculated density	7.26	g/cm3

(10)
YCd2Sb: single point on PBEsol structure, meta-GGA SCAN.

Lattice parameters (Å, degrees): 4.226 4.226 6.522 108.53 108.53 91.08
Atoms (fractional coordinates):
Cd1 0.500 0.500 0.500
Y1 0.000 0.000 0.000
Cd2 0.000 0.000 0.500
Sb1 0.500 0.500 0.000

Values from the calculation:
SG	Fmmm (69)
uncorrected energy	-31.9157	eV per atom
uncorrected formation energy	-433	meV/atom
calculated density	6.97	g/cm3

(11)
Y2HfO5: single point on PBEsol structure, meta-GGA SCAN.

Lattice parameters (Å, degrees): 3.696 10.545 11.409 90.00 90.00 90.00
Atoms (fractional coordinates):
O1 0.250 0.762 0.893
Y1 0.750 0.371 0.939
O2 0.750 0.500 0.106
Hf1 0.250 0.162 0.109
O3 0.250 0.735 0.555
Hf2 0.750 0.338 0.609
O4 0.250 0.984 0.149
O5 0.250 0.500 0.894
O6 0.250 0.262 0.607
O7 0.250 0.244 0.267
Y2 0.250 0.128 0.773
Y3 0.750 0.872 0.227
O8 0.750 0.000 0.394
Hf3 0.250 0.662 0.391
Y4 0.250 0.629 0.061
O9 0.250 0.235 0.945
O10 0.750 0.738 0.393
Y5 0.250 0.129 0.439
O11 0.750 0.516 0.649
O12 0.750 0.265 0.445
Y6 0.750 0.372 0.273
Y7 0.250 0.628 0.727
Hf4 0.750 0.838 0.891
O13 0.250 0.484 0.351
O14 0.250 0.744 0.233
Y8 0.750 0.871 0.561
O15 0.750 0.756 0.733
O16 0.250 0.000 0.606
O17 0.750 0.238 0.107
O18 0.750 0.765 0.055
O19 0.750 0.256 0.767
O20 0.750 0.016 0.851

Values from the calculation:
SG	Pnma (62)
uncorrected energy	-22.5684	eV per atom
uncorrected formation energy	-3879	meV/atom
energy relative to the lowest polymorph listed for this composition	9.3	meV/atom
calculated density	6.52	g/cm3

(12)
Zr2CuMo: single point on PBEsol structure, meta-GGA SCAN.

Lattice parameters (Å, degrees): 2.795 2.795 8.883 90.00 90.00 89.29
Atoms (fractional coordinates):
Cu1 0.000 0.000 0.484
Zr1 0.000 0.000 0.020
Mo1 0.500 0.500 0.285
Zr2 0.500 0.500 0.712

Values from the calculation:
SG	Cmm2 (35)
calculated formation energy	4.44	kcal/mol of atoms
uncorrected energy	-27.6779	eV per atom
energy relative to the lowest polymorph listed for this composition	311.0	meV/atom
calculated density	8.18	g/cm3